Entry 1:
Entry from the Alexandria database: crystalline AlFeCoRe at its relaxed geometry (GGA-PBE).

a = 5.8486 Å, b = 5.8486 Å, c = 5.8486 Å
α = 90.00°, β = 90.00°, γ = 90.00°
Positions (direct):
Al 0.0000 0.0000 0.0000
Al 0.0000 0.5000 0.5000
Al 0.5000 0.0000 0.5000
Al 0.5000 0.5000 0.0000
Fe 0.2500 0.2500 0.7500
Fe 0.2500 0.7500 0.2500
Fe 0.7500 0.2500 0.2500
Fe 0.7500 0.7500 0.7500
Co 0.2500 0.2500 0.2500
Co 0.2500 0.7500 0.7500
Co 0.7500 0.2500 0.7500
Co 0.7500 0.7500 0.2500
Re 0.0000 0.0000 0.5000
Re 0.0000 0.5000 0.0000
Re 0.5000 0.0000 0.0000
Re 0.5000 0.5000 0.5000

Its energy of formation is -120 meV/atom. As for the space group: No. 216.

***

Entry 2:
Entry from the Alexandria database: crystalline TaTiNb2H at its relaxed geometry (GGA-PBE).

a = 4.5329 Å, b = 4.5329 Å, c = 3.5954 Å
α = 90.00°, β = 90.00°, γ = 90.00°
Positions (direct):
Ta 0.0000 0.0000 0.0000
Ti 0.5000 0.5000 0.0000
Nb 0.0000 0.5000 0.5000
Nb 0.5000 0.0000 0.5000
H 0.5000 0.5000 0.5000

Its polymorph energy (0 for the lowest one) is 0.00 eV/f.u. As for the space group: No. 123.

***

no.,E (eV/atom)
1,-8.0597
2,-8.7000